Entry i
## Nd4HgRh (PBE)

Data for a geometry-optimized Nd4HgRh structure.

a = 9.909 Å, b = 9.909 Å, c = 9.909 Å
α = 60.00°, β = 60.00°, γ = 60.00°
Element x y z (fractional)
Nd (0.188, 0.188, 0.812)
Nd (0.188, 0.812, 0.188)
Nd (0.188, 0.812, 0.812)
Nd (0.400, 0.400, 0.400)
Nd (0.400, 0.400, 0.801)
Nd (0.400, 0.801, 0.400)
Nd (0.559, 0.559, 0.941)
Nd (0.559, 0.941, 0.559)
Nd (0.559, 0.941, 0.941)
Nd (0.801, 0.400, 0.400)
Nd (0.812, 0.188, 0.188)
Nd (0.812, 0.188, 0.812)
Nd (0.812, 0.812, 0.188)
Nd (0.941, 0.559, 0.559)
Nd (0.941, 0.559, 0.941)
Nd (0.941, 0.941, 0.559)
Hg (0.166, 0.166, 0.166)
Hg (0.166, 0.166, 0.501)
Hg (0.166, 0.501, 0.166)
Hg (0.501, 0.166, 0.166)
Rh (0.177, 0.608, 0.608)
Rh (0.608, 0.177, 0.608)
Rh (0.608, 0.608, 0.177)
Rh (0.608, 0.608, 0.608)

Properties
- M_tot: 0.000 Bohr magnetons per cell


Entry ii
## Nd4HgRh (PBE)

Data for a geometry-optimized Nd4HgRh structure.

a = 8.339 Å, b = 8.339 Å, c = 6.208 Å
α = 103.48°, β = 103.48°, γ = 114.98°
Element x y z (fractional)
Nd (0.070, 0.701, 0.923)
Nd (0.208, 0.349, 0.666)
Nd (0.299, 0.930, 0.577)
Nd (0.349, 0.208, 0.166)
Nd (0.651, 0.792, 0.834)
Nd (0.701, 0.070, 0.423)
Nd (0.792, 0.651, 0.334)
Nd (0.930, 0.299, 0.077)
Hg (0.378, 0.622, 0.250)
Hg (0.622, 0.378, 0.750)
Rh (0.002, 0.998, 0.750)
Rh (0.998, 0.002, 0.250)

Properties
- M_tot: 0.000 Bohr magnetons per cell


Q: Which of them is the most stable? A: entry i.


Entry i
## Nd4Hg2Rh (PBE)

Data for a geometry-optimized Nd4Hg2Rh structure.

a = 8.797 Å, b = 8.797 Å, c = 6.755 Å
α = 111.71°, β = 111.71°, γ = 26.39°
Element x y z (fractional)
Nd (0.094, 0.094, 0.442)
Nd (0.391, 0.391, 0.052)
Nd (0.609, 0.609, 0.948)
Nd (0.906, 0.906, 0.558)
Hg (0.255, 0.255, 0.294)
Hg (0.745, 0.745, 0.706)
Rh (0.000, 0.000, 0.000)

Properties
- M_tot: 0.000 Bohr magnetons per cell


Entry ii
## Nd4Hg2Rh (PBE)

Data for a geometry-optimized Nd4Hg2Rh structure.

a = 6.073 Å, b = 6.073 Å, c = 8.765 Å
α = 116.49°, β = 116.49°, γ = 45.92°
Element x y z (fractional)
Nd (0.075, 0.075, 0.353)
Nd (0.327, 0.327, 0.931)
Nd (0.673, 0.673, 0.069)
Nd (0.925, 0.925, 0.647)
Hg (0.359, 0.359, 0.332)
Hg (0.641, 0.641, 0.668)
Rh (0.000, 0.000, 0.000)

Properties
- M_tot: 0.000 Bohr magnetons per cell


Q: Which of them is the most stable? A: entry ii.


Entry i
## Nd6Hg2Rh (PBE)

Data for a geometry-optimized Nd6Hg2Rh structure.

a = 3.836 Å, b = 8.906 Å, c = 8.906 Å
α = 120.03°, β = 90.00°, γ = 90.00°
Element x y z (fractional)
Nd (0.000, 0.000, 0.000)
Nd (0.000, 0.515, 0.758)
Nd (0.000, 0.758, 0.515)
Nd (0.500, 0.161, 0.758)
Nd (0.500, 0.354, 0.354)
Nd (0.500, 0.758, 0.161)
Hg (0.000, 0.091, 0.424)
Hg (0.000, 0.424, 0.091)
Rh (0.500, 0.757, 0.757)

Properties
- M_tot: 0.000 Bohr magnetons per cell


Entry ii
## Nd6Hg2Rh (PBE)

Data for a geometry-optimized Nd6Hg2Rh structure.

a = 7.172 Å, b = 7.495 Å, c = 12.631 Å
α = 90.00°, β = 122.35°, γ = 90.00°
Element x y z (fractional)
Nd (0.135, 0.009, 0.254)
Nd (0.135, 0.491, 0.754)
Nd (0.245, 0.686, 0.053)
Nd (0.245, 0.814, 0.553)
Nd (0.365, 0.200, 0.051)
Nd (0.365, 0.300, 0.551)
Nd (0.635, 0.700, 0.449)
Nd (0.635, 0.800, 0.949)
Nd (0.755, 0.186, 0.447)
Nd (0.755, 0.314, 0.947)
Nd (0.865, 0.509, 0.246)
Nd (0.865, 0.991, 0.746)
Hg (0.304, 0.091, 0.760)
Hg (0.304, 0.409, 0.260)
Hg (0.696, 0.591, 0.740)
Hg (0.696, 0.909, 0.240)
Rh (0.000, 0.000, 0.000)
Rh (0.000, 0.500, 0.500)

Properties
- M_tot: 0.000 Bohr magnetons per cell


Q: Which of them is the most stable? A: entry i.


Entry i
## Nd4HgRh2 (PBE)

Data for a geometry-optimized Nd4HgRh2 structure.

a = 7.138 Å, b = 7.138 Å, c = 9.483 Å
α = 117.97°, β = 117.97°, γ = 75.74°
Element x y z (fractional)
Nd (0.046, 0.546, 0.863)
Nd (0.067, 0.067, 0.363)
Nd (0.189, 0.502, 0.269)
Nd (0.454, 0.954, 0.137)
Nd (0.498, 0.811, 0.731)
Nd (0.518, 0.330, 0.770)
Nd (0.670, 0.482, 0.230)
Nd (0.933, 0.933, 0.637)
Hg (0.678, 0.322, 0.500)
Hg (0.929, 0.071, 0.000)
Rh (0.139, 0.527, 0.572)
Rh (0.317, 0.205, 0.928)
Rh (0.473, 0.861, 0.428)
Rh (0.795, 0.683, 0.072)

Properties
- M_tot: 0.000 Bohr magnetons per cell


Entry ii
## Nd4HgRh2 (PBE)

Data for a geometry-optimized Nd4HgRh2 structure.

a = 7.887 Å, b = 7.887 Å, c = 7.887 Å
α = 108.61°, β = 108.61°, γ = 111.20°
Element x y z (fractional)
Nd (0.008, 0.762, 0.113)
Nd (0.101, 0.488, 0.746)
Nd (0.105, 0.992, 0.754)
Nd (0.238, 0.351, 0.246)
Nd (0.512, 0.258, 0.613)
Nd (0.645, 0.899, 0.387)
Nd (0.649, 0.895, 0.887)
Nd (0.742, 0.355, 0.254)
Hg (0.250, 0.750, 0.500)
Hg (0.500, 0.500, 0.000)
Rh (0.002, 0.125, 0.377)
Rh (0.375, 0.998, 0.123)
Rh (0.748, 0.625, 0.623)
Rh (0.875, 0.252, 0.877)

Properties
- M_tot: 0.000 Bohr magnetons per cell


Q: Which of them is the most stable? A: entry i.


Entry i
## Nd2HgRh (PBE)

Data for a geometry-optimized Nd2HgRh structure.

a = 8.056 Å, b = 8.056 Å, c = 8.056 Å
α = 29.90°, β = 29.90°, γ = 29.90°
Element x y z (fractional)
Nd (0.000, 0.000, 0.000)
Nd (0.199, 0.199, 0.199)
Hg (0.766, 0.766, 0.766)
Rh (0.601, 0.601, 0.601)

Properties
- M_tot: 0.000 Bohr magnetons per cell


Entry ii
## Nd2HgRh (PBE)

Data for a geometry-optimized Nd2HgRh structure.

a = 3.618 Å, b = 3.618 Å, c = 7.723 Å
α = 90.00°, β = 90.00°, γ = 90.00°
Element x y z (fractional)
Nd (0.000, 0.000, 0.221)
Nd (0.000, 0.000, 0.779)
Hg (0.500, 0.500, 0.500)
Rh (0.500, 0.500, 0.000)

Properties
- M_tot: 0.000 Bohr magnetons per cell


Entry iii
## Nd2HgRh (PBE)

Data for a geometry-optimized Nd2HgRh structure.

a = 8.297 Å, b = 8.297 Å, c = 8.297 Å
α = 28.38°, β = 28.38°, γ = 28.38°
Element x y z (fractional)
Nd (0.235, 0.235, 0.235)
Nd (0.765, 0.765, 0.765)
Hg (0.000, 0.000, 0.000)
Rh (0.500, 0.500, 0.500)

Properties
- M_tot: 0.000 Bohr magnetons per cell


Entry iv
## Nd2HgRh (PBE)

Data for a geometry-optimized Nd2HgRh structure.

a = 5.221 Å, b = 5.221 Å, c = 5.221 Å
α = 60.00°, β = 60.00°, γ = 60.00°
Element x y z (fractional)
Nd (0.250, 0.250, 0.250)
Nd (0.750, 0.750, 0.750)
Hg (0.000, 0.000, 0.000)
Rh (0.500, 0.500, 0.500)

Properties
- M_tot: 0.000 Bohr magnetons per cell


Q: Which of them is the most stable? A: entry ii.


Entry i
## Nd6HgRh3 (PBE)

Data for a geometry-optimized Nd6HgRh3 structure.

a = 12.121 Å, b = 4.188 Å, c = 12.142 Å
α = 90.00°, β = 108.62°, γ = 90.00°
Element x y z (fractional)
Nd (0.031, 0.250, 0.393)
Nd (0.111, 0.250, 0.950)
Nd (0.210, 0.750, 0.263)
Nd (0.283, 0.750, 0.766)
Nd (0.358, 0.250, 0.538)
Nd (0.433, 0.750, 0.096)
Nd (0.567, 0.250, 0.904)
Nd (0.642, 0.750, 0.462)
Nd (0.717, 0.250, 0.234)
Nd (0.790, 0.250, 0.737)
Nd (0.889, 0.750, 0.050)
Nd (0.969, 0.750, 0.607)
Hg (0.445, 0.250, 0.305)
Hg (0.555, 0.750, 0.695)
Rh (0.047, 0.250, 0.164)
Rh (0.186, 0.750, 0.504)
Rh (0.343, 0.250, 0.929)
Rh (0.657, 0.750, 0.071)
Rh (0.814, 0.250, 0.496)
Rh (0.953, 0.750, 0.836)

Properties
- M_tot: 0.000 Bohr magnetons per cell


Entry ii
## Nd6HgRh3 (PBE)

Data for a geometry-optimized Nd6HgRh3 structure.

a = 9.000 Å, b = 9.000 Å, c = 7.468 Å
α = 90.00°, β = 90.00°, γ = 104.29°
Element x y z (fractional)
Nd (0.014, 0.986, 0.500)
Nd (0.093, 0.527, 0.532)
Nd (0.224, 0.776, 0.180)
Nd (0.301, 0.366, 0.108)
Nd (0.366, 0.301, 0.608)
Nd (0.473, 0.907, 0.532)
Nd (0.527, 0.093, 0.032)
Nd (0.634, 0.699, 0.108)
Nd (0.699, 0.634, 0.608)
Nd (0.776, 0.224, 0.680)
Nd (0.907, 0.473, 0.032)
Nd (0.986, 0.014, 0.000)
Hg (0.182, 0.818, 0.778)
Hg (0.818, 0.182, 0.278)
Rh (0.082, 0.298, 0.802)
Rh (0.298, 0.082, 0.302)
Rh (0.401, 0.599, 0.384)
Rh (0.599, 0.401, 0.884)
Rh (0.702, 0.918, 0.802)
Rh (0.918, 0.702, 0.302)

Properties
- M_tot: 0.000 Bohr magnetons per cell


Q: Which of them is the most stable? A: entry i.


Entry i
## Nd3HgRh (PBE)

Data for a geometry-optimized Nd3HgRh structure.

a = 7.462 Å, b = 4.993 Å, c = 15.224 Å
α = 90.00°, β = 90.00°, γ = 90.00°
Element x y z (fractional)
Nd (0.009, 0.250, 0.103)
Nd (0.133, 0.750, 0.456)
Nd (0.186, 0.250, 0.722)
Nd (0.314, 0.750, 0.222)
Nd (0.367, 0.250, 0.956)
Nd (0.491, 0.750, 0.603)
Nd (0.509, 0.250, 0.397)
Nd (0.633, 0.750, 0.044)
Nd (0.686, 0.250, 0.778)
Nd (0.814, 0.750, 0.278)
Nd (0.867, 0.250, 0.544)
Nd (0.991, 0.750, 0.897)
Hg (0.094, 0.250, 0.318)
Hg (0.406, 0.750, 0.818)
Hg (0.594, 0.250, 0.182)
Hg (0.906, 0.750, 0.682)
Rh (0.224, 0.750, 0.045)
Rh (0.276, 0.250, 0.545)
Rh (0.724, 0.750, 0.455)
Rh (0.776, 0.250, 0.955)

Properties
- M_tot: 0.000 Bohr magnetons per cell


Entry ii
## Nd3HgRh (PBE)

Data for a geometry-optimized Nd3HgRh structure.

a = 5.825 Å, b = 6.742 Å, c = 8.459 Å
α = 100.32°, β = 101.73°, γ = 113.89°
Element x y z (fractional)
Nd (0.054, 0.193, 0.314)
Nd (0.300, 0.827, 0.119)
Nd (0.323, 0.459, 0.761)
Nd (0.677, 0.541, 0.239)
Nd (0.700, 0.173, 0.881)
Nd (0.946, 0.807, 0.686)
Hg (0.354, 0.748, 0.487)
Hg (0.646, 0.252, 0.513)
Rh (0.233, 0.185, 0.985)
Rh (0.767, 0.815, 0.015)

Properties
- M_tot: 0.000 Bohr magnetons per cell


Q: Which of them is the most stable? A: entry i.


Entry i
## Nd3Hg3Rh2 (PBE)

Data for a geometry-optimized Nd3Hg3Rh2 structure.

a = 7.572 Å, b = 18.035 Å, c = 5.689 Å
α = 90.00°, β = 90.00°, γ = 90.00°
Element x y z (fractional)
Nd (0.042, 0.107, 0.116)
Nd (0.042, 0.393, 0.116)
Nd (0.159, 0.250, 0.670)
Nd (0.341, 0.750, 0.170)
Nd (0.458, 0.607, 0.616)
Nd (0.458, 0.893, 0.616)
Nd (0.542, 0.107, 0.384)
Nd (0.542, 0.393, 0.384)
Nd (0.659, 0.250, 0.830)
Nd (0.841, 0.750, 0.330)
Nd (0.958, 0.607, 0.884)
Nd (0.958, 0.893, 0.884)
Hg (0.170, 0.750, 0.679)
Hg (0.181, 0.030, 0.602)
Hg (0.181, 0.470, 0.602)
Hg (0.319, 0.530, 0.102)
Hg (0.319, 0.970, 0.102)
Hg (0.330, 0.250, 0.179)
Hg (0.670, 0.750, 0.821)
Hg (0.681, 0.030, 0.898)
Hg (0.681, 0.470, 0.898)
Hg (0.819, 0.530, 0.398)
Hg (0.819, 0.970, 0.398)
Hg (0.830, 0.250, 0.321)
Rh (0.115, 0.627, 0.378)
Rh (0.115, 0.873, 0.378)
Rh (0.385, 0.127, 0.878)
Rh (0.385, 0.373, 0.878)
Rh (0.615, 0.627, 0.122)
Rh (0.615, 0.873, 0.122)
Rh (0.885, 0.127, 0.622)
Rh (0.885, 0.373, 0.622)

Properties
- M_tot: 0.000 Bohr magnetons per cell


Entry ii
## Nd3Hg3Rh2 (PBE)

Data for a geometry-optimized Nd3Hg3Rh2 structure.

a = 9.048 Å, b = 9.048 Å, c = 5.250 Å
α = 100.08°, β = 100.08°, γ = 28.10°
Element x y z (fractional)
Nd (0.000, 0.000, 0.000)
Nd (0.167, 0.167, 0.597)
Nd (0.833, 0.833, 0.403)
Hg (0.369, 0.369, 0.909)
Hg (0.500, 0.500, 0.500)
Hg (0.631, 0.631, 0.091)
Rh (0.231, 0.231, 0.141)
Rh (0.769, 0.769, 0.859)

Properties
- M_tot: 0.000 Bohr magnetons per cell


Q: Which of them is the most stable? A: entry i.